# BeNbRe2

An optimized crystal structure of BeNbRe2 (PBE, Alexandria).

```
8
Lattice="-4.873 4.213 -3.129 2.451 -1.949 -6.441 -2.729 -0.653 -4.823" Properties=species:S:1:pos:R:3 pbc="T T T"
Be -0.745 -0.735 -8.024
Nb -4.407 2.346 -6.369
Re -0.167 -0.503 -5.884
Re -4.371 1.654 -11.453
Re -2.751 0.197 -7.744
Nb 0.000 0.000 0.000
Re -3.015 1.874 -3.705
Be -1.211 1.132 -4.785
```

Calculated values
ΔE_f ... 0.4510 eV per atom
Mass density ... 13.108 g/cm3